First-principles (GGA-PBE) data for a relaxed structure of TbTm2ZrS4, as listed in Alexandria.

The structure in POSCAR format:
```
TbTm2ZrS4
1.0
-1.514 -3.199 1.472
4.817 -0.170 4.582
-1.914 3.372 5.359
Tb Tm Zr S
1 2 1 4
direct
0.500 0.500 0.000
0.000 0.000 0.000
0.500 0.000 0.500
0.000 0.500 0.500
0.000 0.754 0.744
0.000 0.246 0.256
0.500 0.750 0.255
0.500 0.250 0.745
```

Summary:
DOS at the Fermi energy = 3.654 states/eV/cell
Calculated volume = 159 Å³ per cell
E_form (uncorrected) = -173.9 kJ per mole of atoms
Space group = P2/m